Below is a relaxed structure of RbCrNF2, with properties calculated at the GGA+U level.

Its crystal system is tetragonal. For the density of states at the Fermi level, the calculation gives 0.7 states/eV/f.u. The value obtained for the size of the total moment is 2.0 μB/cell. For the volume, the calculation gives 27.05 Å³ per atom. The value obtained for the energy above the most stable polymorph in this dataset is 1583 meV per atom.

The structure belongs to space group P4/mmm (No. 123); the cell edges are 5.105, 5.105 and 5.191 Å and the angles 90.00°, 90.00° and 90.00°. The asymmetric unit holds Rb at (0.000, 0.000, 0.000), Cr at (0.500, 0.500, 0.500), N at (0.000, 0.000, 0.500) and F at (0.000, 0.500, 0.000).